An optimized crystal structure of SeCl3. Source: the Alexandria database, functional PBE-GGA.

The structure in POSCAR format:
```
SeCl3
1.0
3.019 0.000 0.000
0.000 3.797 0.000
0.000 0.000 8.730
Se Cl
1 3
direct
0.000 0.000 0.000
0.000 0.500 0.827
0.500 0.000 0.565
0.500 0.500 0.177
```

**Uncorrected formation energy**: 0.329 eV/atom
**D(E_F)**: 2.090 states/eV/cell
**M_tot**: 0.000 μB/atom
**Uncorrected energy**: -1.928 eV/atom